No. 1
The following is a DFT calculation (PBE-GGA) of a relaxed LaZr2In crystal.

Results
Size of the total moment ... 0.000 μB/cell
DOS(E_F) ... 1.141 states/eV per atom
SG ... No. 10
Energy ... -6.18 eV/atom

```
LaZr2In
1.0
5.337 0.000 0.000
0.000 3.306 -0.002
0.000 0.794 5.923
Zr La In
2 1 1
Direct
0.000 0.435 0.479
0.000 0.065 0.021
0.500 0.750 0.750
0.500 0.250 0.250
```

No. 2
The following is a DFT calculation (PBE-GGA) of a relaxed Pr3YO crystal.

Results
Size of the total moment ... 0.000 μB/cell
DOS(E_F) ... 0.846 states/eV per atom
Raw formation energy ... -1.096 eV per atom
SG ... No. 221
Energy ... -6.25 eV/atom

```
Pr3YO
1.0
5.145 0.000 0.000
0.000 5.145 0.000
0.000 0.000 5.145
Pr Y O
3 1 1
Direct
0.000 0.500 0.000
0.500 0.000 0.000
0.000 0.000 0.500
0.500 0.500 0.500
0.000 0.000 0.000
```

No. 3
The following is a DFT calculation (PBE-GGA) of a relaxed RbHfPb3 crystal.

Results
Size of the total moment ... 0.000 μB/cell
DOS(E_F) ... 0.549 states/eV per atom
Polymorph energy (0 for the lowest one) ... 0 kJ/mol of formula units
SG ... No. 221
Energy ... -4.36 eV/atom

```
RbHfPb3
1.0
-2.062 5.336 -0.184
-4.762 -1.927 -2.525
-2.416 -0.757 5.134
Pb Rb Hf
3 1 1
Direct
0.000 0.500 0.000
0.000 0.000 0.500
0.500 0.000 0.000
0.500 0.500 0.500
0.000 0.000 0.000
```

No. 4
The following is a DFT calculation (PBE-GGA) of a relaxed Sm6P3SeS2 crystal.

Results
Size of the total moment ... 0.000 μB/cell
DOS(E_F) ... 0.348 states/eV per atom
Raw formation energy ... -1.834 eV per atom
SG ... No. 12
Energy ... -6.52 eV/atom

```
Sm6P3SeS2
1.0
-0.018 -2.287 -3.383
8.111 -1.033 0.656
-3.383 -5.698 6.335
P S Sm Se
3 2 6 1
Direct
0.834 0.168 0.668
0.500 0.500 0.000
0.166 0.832 0.332
0.167 0.333 0.334
0.833 0.667 0.666
0.001 0.738 0.003
0.671 0.080 0.343
0.665 0.588 0.330
0.329 0.920 0.657
0.999 0.262 0.997
0.335 0.412 0.670
0.500 0.000 0.000
```

No. 5
The following is a DFT calculation (PBE-GGA) of a relaxed PaSnGe crystal.

Results
Size of the total moment ... 0.000 μB/cell
DOS(E_F) ... 1.405 states/eV per atom
Polymorph energy (0 for the lowest one) ... 0 kJ/mol of formula units
SG ... No. 63
Energy ... -6.40 eV/atom

```
PaSnGe
1.0
4.120 0.000 0.000
0.000 4.110 -1.070
0.000 -0.010 8.388
Sn Ge Pa
2 2 2
Direct
0.250 0.749 0.499
0.750 0.251 0.501
0.750 0.560 0.120
0.250 0.440 0.880
0.250 0.094 0.188
0.750 0.906 0.812
```

No. 6
The following is a DFT calculation (PBE-GGA) of a relaxed LiFePdN crystal.

Results
Size of the total moment ... 0.000 μB/cell
DOS(E_F) ... 0.659 states/eV per atom
Raw formation energy ... 0.017 eV per atom
SG ... No. 129
Energy ... -5.96 eV/atom

```
LiFePdN
1.0
-1.024 0.119 3.331
3.265 -0.668 1.028
1.746 8.876 0.218
Pd Fe N Li
2 2 2 2
Direct
0.250 0.750 0.500
0.750 0.250 0.500
0.750 0.250 0.000
0.250 0.750 0.000
0.250 0.250 0.088
0.750 0.750 0.912
0.750 0.750 0.265
0.250 0.250 0.735
```

No. 7
The following is a DFT calculation (PBE-GGA) of a relaxed FePPb3 crystal.

Results
Size of the total moment ... 3.189 μB/cell
DOS(E_F) ... 1.630 states/eV per atom
Polymorph energy (0 for the lowest one) ... 230 kJ/mol of formula units
SG ... No. 221
Energy ... -4.02 eV/atom

```
FePPb3
1.0
5.413 0.000 0.000
0.000 5.413 0.000
0.000 0.000 5.413
P Pb Fe
1 3 1
Direct
0.000 0.000 0.000
0.000 0.000 0.500
0.000 0.500 0.000
0.500 0.000 0.000
0.500 0.500 0.500
```

No. 8
The following is a DFT calculation (PBE-GGA) of a relaxed SrCa2PrIn4 crystal.

Results
Size of the total moment ... 0.000 μB/cell
DOS(E_F) ... 0.647 states/eV per atom
SG ... No. 166
Energy ... -3.14 eV/atom

```
SrCa2PrIn4
1.0
5.544 0.000 0.000
2.772 4.801 0.000
2.772 1.600 9.066
Ca In Sr Pr
2 4 1 1
Direct
0.749 0.749 0.752
0.251 0.251 0.248
0.378 0.378 0.867
0.126 0.126 0.622
0.622 0.622 0.133
0.874 0.874 0.378
0.000 0.000 0.000
0.500 0.500 0.500
```

No. 9
The following is a DFT calculation (PBE-GGA) of a relaxed Cu2TeAs crystal.

Results
Size of the total moment ... 0.000 μB/cell
DOS(E_F) ... 0.521 states/eV per atom
Raw formation energy ... 0.367 eV per atom
Polymorph energy (0 for the lowest one) ... 119 kJ/mol of formula units
SG ... No. 139
Energy ... -3.63 eV/atom

```
Cu2TeAs
1.0
-2.114 4.386 0.078
-3.838 -0.821 2.882
4.660 -1.015 0.982
As Cu Te
1 2 1
Direct
0.750 0.250 0.500
0.500 0.500 0.000
0.000 0.000 0.000
0.250 0.750 0.500
```

No. 10
The following is a DFT calculation (PBE-GGA) of a relaxed Mn2CdRuC crystal.

Results
Size of the total moment ... 6.197 μB/cell
DOS(E_F) ... 0.450 states/eV per atom
SG ... No. 123
Energy ... -7.46 eV/atom

```
Mn2CdRuC
1.0
-1.272 -1.186 -3.667
3.693 -1.479 -0.803
-1.100 -3.582 1.540
Ru Mn C Cd
1 2 1 1
Direct
0.000 0.000 0.500
0.000 0.500 0.000
0.500 0.000 0.000
0.000 0.000 0.000
0.500 0.500 0.500
```

No. 11
The following is a DFT calculation (PBE-GGA) of a relaxed TiTlGaBr6 crystal.

Results
Size of the total moment ... 0.000 μB/cell
Raw formation energy ... -0.922 eV per atom
SG ... No. 5
Energy ... -3.51 eV/atom

```
TiTlGaBr6
1.0
-2.157 -4.962 -5.282
4.413 -5.907 -1.676
-2.957 -3.477 4.473
Br Tl Ga Ti
6 1 1 1
Direct
0.066 0.613 0.732
0.612 0.321 0.732
0.067 0.321 0.268
0.613 0.066 0.268
0.321 0.067 0.732
0.321 0.612 0.268
0.667 0.667 0.500
0.000 0.000 0.000
0.333 0.333 0.500
```

No. 12
The following is a DFT calculation (PBE-GGA) of a relaxed Sr2SnSb3 crystal.

Results
Size of the total moment ... 0.000 μB/cell
DOS(E_F) ... 0.612 states/eV per atom
Raw formation energy ... -0.443 eV per atom
SG ... No. 71
Energy ... -3.73 eV/atom

```
Sr2SnSb3
1.0
3.996 0.000 0.000
0.000 6.673 0.000
-1.998 -3.336 7.757
Sr Sb Sn
2 3 1
Direct
0.328 0.828 0.656
0.672 0.172 0.344
0.000 0.000 0.000
0.647 0.647 0.293
0.353 0.353 0.707
0.000 0.500 0.000
```

No. 13
The following is a DFT calculation (PBE-GGA) of a relaxed MnPt2Se crystal.

Results
Size of the total moment ... 4.108 μB/cell
DOS(E_F) ... 0.683 states/eV per atom
Raw formation energy ... -0.063 eV per atom
SG ... No. 12
Energy ... -6.25 eV/atom

```
MnPt2Se
1.0
-1.464 1.265 -4.364
-4.052 0.458 -2.482
-0.855 4.360 0.695
Se Mn Pt
1 1 2
Direct
0.750 0.750 0.750
0.250 0.250 0.250
0.511 0.511 0.489
0.989 0.989 0.011
```

No. 14
The following is a DFT calculation (PBE-GGA) of a relaxed MnSn crystal.

Results
Size of the total moment ... 25.180 μB/cell
DOS(E_F) ... 0.796 states/eV per atom
SG ... No. 70
Energy ... -6.10 eV/atom

```
MnSn
1.0
8.352 0.000 0.000
0.000 13.360 0.000
0.000 0.000 5.212
Mn Sn
16 16
Direct
0.750 0.170 0.250
0.250 0.670 0.250
0.500 0.920 0.500
0.000 0.920 0.000
0.500 0.580 0.000
0.750 0.330 0.250
0.250 0.170 0.750
0.750 0.670 0.750
0.750 0.830 0.750
0.250 0.330 0.750
0.500 0.080 0.500
0.000 0.580 0.500
0.000 0.080 0.000
0.250 0.830 0.250
0.500 0.420 0.000
0.000 0.420 0.500
0.578 0.750 0.250
0.672 0.500 0.500
0.672 0.000 0.000
0.078 0.250 0.250
0.328 0.500 0.500
0.328 0.000 0.000
0.922 0.250 0.750
0.422 0.750 0.750
0.828 0.500 0.000
0.922 0.750 0.250
0.172 0.500 0.000
0.828 0.000 0.500
0.422 0.250 0.250
0.172 0.000 0.500
0.078 0.750 0.750
0.578 0.250 0.750
```

No. 15
The following is a DFT calculation (PBE-GGA) of a relaxed Ba3MgI crystal.

Results
Size of the total moment ... 0.001 μB/cell
DOS(E_F) ... 1.851 states/eV per atom
Raw formation energy ... -0.128 eV per atom
SG ... No. 221
Energy ... -1.91 eV/atom

```
Ba3MgI
1.0
6.808 0.000 0.000
0.000 6.808 0.000
0.000 0.000 6.808
I Ba Mg
1 3 1
Direct
0.500 0.500 0.500
0.000 0.000 0.500
0.500 0.000 0.000
0.000 0.500 0.000
0.000 0.000 0.000
```

No. 16
The following is a DFT calculation (PBE-GGA) of a relaxed Sc3Ag2Rh crystal.

Results
Size of the total moment ... 0.000 μB/cell
DOS(E_F) ... 0.763 states/eV per atom
SG ... No. 65
Energy ... -5.85 eV/atom

```
Sc3Ag2Rh
1.0
-2.748 1.378 -3.584
-4.833 -5.447 -1.499
-4.463 2.730 4.469
Rh Ag Sc
2 4 6
Direct
0.666 0.669 0.000
0.334 0.331 0.000
0.334 0.332 0.500
0.000 0.000 0.000
0.666 0.668 0.500
0.000 0.000 0.500
0.829 0.343 0.768
0.171 0.657 0.232
0.500 0.000 0.762
0.500 0.000 0.238
0.172 0.657 0.768
0.828 0.343 0.232
```

No. 17
The following is a DFT calculation (PBE-GGA) of a relaxed CdHg2Cl6 crystal.

Results
Size of the total moment ... 0.000 μB/cell
DOS(E_F) ... 0.000 states/eV per atom
Raw formation energy ... -0.717 eV per atom
Polymorph energy (0 for the lowest one) ... 0 kJ/mol of formula units
SG ... No. 12
Energy ... -2.12 eV/atom

```
CdHg2Cl6
1.0
4.125 -0.001 0.000
-2.061 6.108 -2.327
0.003 -0.266 10.827
Cl Cd Hg
6 1 2
Direct
0.350 0.700 0.947
0.013 0.026 0.243
0.650 0.300 0.053
0.315 0.631 0.399
0.987 0.974 0.757
0.685 0.369 0.601
0.000 0.000 0.000
0.169 0.339 0.731
0.831 0.661 0.269
```

No. 18
The following is a DFT calculation (PBE-GGA) of a relaxed Pm2Sm5Er3 crystal.

Results
Size of the total moment ... 0.000 μB/cell
DOS(E_F) ... 1.813 states/eV per atom
Polymorph energy (0 for the lowest one) ... 0 kJ/mol of formula units
SG ... No. 15
Energy ... -4.49 eV/atom

```
Pm2Sm5Er3
1.0
8.537 1.674 -4.010
0.321 8.716 -4.103
-1.858 -2.105 10.821
Sm Er Pm
10 6 4
Direct
0.602 0.847 0.231
0.718 0.468 0.935
0.981 0.231 0.463
0.871 0.616 0.769
0.520 0.270 0.541
0.282 0.532 0.065
0.019 0.769 0.537
0.480 0.730 0.459
0.398 0.153 0.769
0.129 0.384 0.231
0.225 0.975 0.950
0.775 0.025 0.050
0.993 0.223 0.762
0.007 0.777 0.238
0.731 0.461 0.238
0.269 0.539 0.762
0.785 0.019 0.754
0.469 0.735 0.754
0.215 0.981 0.246
0.531 0.265 0.246
```

No. 19
The following is a DFT calculation (PBE-GGA) of a relaxed Ba2TaPt crystal.

Results
Size of the total moment ... 0.495 μB/cell
DOS(E_F) ... 1.359 states/eV per atom
Polymorph energy (0 for the lowest one) ... 263 kJ/mol of formula units
SG ... No. 166
Energy ... -4.70 eV/atom

```
Ba2TaPt
1.0
10.263 0.001 0.001
9.569 3.711 0.001
9.569 1.791 3.250
Ba Pt Ta
2 1 1
Direct
0.989 0.989 0.989
0.511 0.511 0.511
0.250 0.250 0.250
0.750 0.750 0.750
```

No. 20
The following is a DFT calculation (PBE-GGA) of a relaxed SrLaCd2 crystal.

Results
Size of the total moment ... 0.264 μB/cell
DOS(E_F) ... 0.975 states/eV per atom
SG ... No. 47
Energy ... -2.44 eV/atom

```
SrLaCd2
1.0
-1.952 -2.339 -2.603
-0.904 -2.529 2.951
-7.644 1.525 4.363
Sr La Cd
1 1 2
Direct
0.500 0.750 0.750
0.500 0.250 0.250
0.000 0.516 0.485
0.000 0.984 0.015
```